No. 1
# PPdRhO2

A relaxed structure of PPdRhO2 (PBE, Alexandria).

Lattice parameters (Å, degrees): 3.6920 3.6920 5.4484 90.00 90.00 90.00
Positions (direct):
O 0.0000 0.5000 0.0000
O 0.5000 0.0000 0.0000
Rh 0.0000 0.0000 0.0000
P 0.0000 0.0000 0.5000
Pd 0.5000 0.5000 0.5000

Computed properties:
M_tot: 0.0 μB/cell



No. 2
# SbPPdO2

A relaxed structure of SbPPdO2 (PBE, Alexandria).

Lattice parameters (Å, degrees): 3.8361 3.8361 5.5074 90.00 90.00 90.00
Last column: magnetic moment on the atom in μB.
Positions (direct):
Pd 0.5000 0.5000 0.5000  0.17
O 0.0000 0.5000 0.0000  0.02
O 0.5000 0.0000 0.0000  0.02
P 0.0000 0.0000 0.5000  0.04
Sb 0.0000 0.0000 0.0000  0.00

Computed properties:
M_tot: 0.3 μB/cell



No. 3
# SbP2PdO

A relaxed structure of SbP2PdO (PBE, Alexandria).

Lattice parameters (Å, degrees): 4.8363 4.8363 3.8511 90.00 90.00 90.00
Positions (direct):
P 0.0000 0.5000 0.0000
P 0.5000 0.0000 0.0000
Pd 0.0000 0.0000 0.0000
O 0.0000 0.0000 0.5000
Sb 0.5000 0.5000 0.5000

Computed properties:
M_tot: 0.0 μB/cell



No. 4
# Sb2PPdO

A relaxed structure of Sb2PPdO (PBE, Alexandria).

Lattice parameters (Å, degrees): 5.3549 4.3106 5.3549 90.00 90.00 90.00
Positions (direct):
Pd 0.0000 0.0000 0.0000
Sb 0.5000 0.0000 0.0000
Sb 0.0000 0.0000 0.5000
P 0.0000 0.5000 0.0000
O 0.5000 0.5000 0.5000

Computed properties:
M_tot: 0.0 μB/cell



No. 5
# SbP2PdO

A relaxed structure of SbP2PdO (PBE, Alexandria).

Lattice parameters (Å, degrees): 5.0665 5.0665 3.8156 90.00 90.00 90.00
Positions (direct):
O 0.0000 0.0000 0.5000
Pd 0.5000 0.5000 0.5000
Sb 0.0000 0.0000 0.0000
P 0.5000 0.0000 0.0000
P 0.0000 0.5000 0.0000

Computed properties:
M_tot: 0.0 μB/cell



No. 6
# SbPPdO2

A relaxed structure of SbPPdO2 (PBE, Alexandria).

Lattice parameters (Å, degrees): 4.0158 4.0158 4.7541 90.00 90.00 90.00
Positions (direct):
O 0.5000 0.0000 0.0000
O 0.0000 0.5000 0.0000
P 0.0000 0.0000 0.5000
Pd 0.0000 0.0000 0.0000
Sb 0.5000 0.5000 0.5000

Computed properties:
M_tot: 0.0 μB/cell



No. 7
# PPdSeO2

A relaxed structure of PPdSeO2 (PBE, Alexandria).

Lattice parameters (Å, degrees): 3.6805 3.6805 5.2600 90.00 90.00 90.00
Positions (direct):
O 0.0000 0.5000 0.0000
O 0.5000 0.0000 0.0000
Pd 0.5000 0.5000 0.5000
Se 0.0000 0.0000 0.0000
P 0.0000 0.0000 0.5000

Computed properties:
M_tot: 0.0 μB/cell



No. 8
# PPdSeO2

A relaxed structure of PPdSeO2 (PBE, Alexandria).

Lattice parameters (Å, degrees): 3.8290 3.8290 5.3504 90.00 90.00 90.00
Last column: magnetic moment on the atom in μB.
Positions (direct):
Se 0.5000 0.5000 0.5000  0.09
O 0.5000 0.0000 0.0000  0.43
O 0.0000 0.5000 0.0000  0.43
Pd 0.0000 0.0000 0.0000  0.42
P 0.0000 0.0000 0.5000  0.08

Computed properties:
M_tot: 1.7 μB/cell



No. 9
# SiP2PdO

A relaxed structure of SiP2PdO (PBE, Alexandria).

Lattice parameters (Å, degrees): 4.7612 4.7612 3.8023 90.00 90.00 90.00
Positions (direct):
P 0.5000 0.0000 0.0000
P 0.0000 0.5000 0.0000
Si 0.5000 0.5000 0.5000
O 0.0000 0.0000 0.5000
Pd 0.0000 0.0000 0.0000

Computed properties:
M_tot: 0.0 μB/cell



No. 10
# SiP2PdO

A relaxed structure of SiP2PdO (PBE, Alexandria).

Lattice parameters (Å, degrees): 4.7480 4.7480 3.2056 90.00 90.00 90.00
Positions (direct):
O 0.0000 0.0000 0.5000
Pd 0.5000 0.5000 0.5000
Si 0.0000 0.0000 0.0000
P 0.0000 0.5000 0.0000
P 0.5000 0.0000 0.0000

Computed properties:
M_tot: 0.0 μB/cell



No. 11
# SnP2PdO

A relaxed structure of SnP2PdO (PBE, Alexandria).

Lattice parameters (Å, degrees): 5.1085 5.1085 3.8352 90.00 90.00 90.00
Positions (direct):
Pd 0.5000 0.5000 0.5000
O 0.0000 0.0000 0.5000
P 0.0000 0.5000 0.0000
P 0.5000 0.0000 0.0000
Sn 0.0000 0.0000 0.0000

Computed properties:
M_tot: 0.0 μB/cell



No. 12
# SnPPdO2

A relaxed structure of SnPPdO2 (PBE, Alexandria).

Lattice parameters (Å, degrees): 4.0037 4.0037 4.8344 90.00 90.00 90.00
Last column: magnetic moment on the atom in μB.
Positions (direct):
Sn 0.5000 0.5000 0.5000  0.00
O 0.5000 0.0000 0.0000  0.11
O 0.0000 0.5000 0.0000  0.11
P 0.0000 0.0000 0.5000  0.02
Pd 0.0000 0.0000 0.0000  0.14

Computed properties:
M_tot: 0.4 μB/cell



No. 13
# SnP2PdO

A relaxed structure of SnP2PdO (PBE, Alexandria).

Lattice parameters (Å, degrees): 4.8296 4.8296 3.8921 90.00 90.00 90.00
Positions (direct):
Pd 0.0000 0.0000 0.0000
P 0.5000 0.0000 0.0000
P 0.0000 0.5000 0.0000
O 0.0000 0.0000 0.5000
Sn 0.5000 0.5000 0.5000

Computed properties:
M_tot: 0.0 μB/cell



No. 14
# SnPPdO2

A relaxed structure of SnPPdO2 (PBE, Alexandria).

Lattice parameters (Å, degrees): 3.8502 3.8502 5.8779 90.00 90.00 90.00
Last column: magnetic moment on the atom in μB.
Positions (direct):
O 0.0000 0.5000 0.0000  0.11
O 0.5000 0.0000 0.0000  0.11
Pd 0.5000 0.5000 0.5000  0.15
Sn 0.0000 0.0000 0.0000  0.00
P 0.0000 0.0000 0.5000  0.17

Computed properties:
M_tot: 0.8 μB/cell



No. 15
# SrP2PdO

A relaxed structure of SrP2PdO (PBE, Alexandria).

Lattice parameters (Å, degrees): 5.5582 5.5582 4.2801 90.00 90.00 90.00
Last column: magnetic moment on the atom in μB.
Positions (direct):
Sr 0.0000 0.0000 0.0000  0.09
Pd 0.5000 0.5000 0.5000  -0.02
P 0.5000 0.0000 0.0000  0.34
P 0.0000 0.5000 0.0000  0.34
O 0.0000 0.0000 0.5000  0.65

Computed properties:
M_tot: 2.3 μB/cell



No. 16
# SrP2PdO8

A relaxed structure of SrP2PdO8 (PBE, Alexandria).

Lattice parameters (Å, degrees): 4.8288 4.8288 7.5405 90.00 90.00 120.00
Positions (direct):
O 0.2987 0.9583 0.6711
O 0.6596 0.7013 0.6711
O 0.9583 0.6596 0.3289
O 0.3333 0.6667 0.9331
O 0.3404 0.2987 0.3289
O 0.0417 0.3404 0.6711
O 0.6667 0.3333 0.0669
O 0.7013 0.0417 0.3289
P 0.6667 0.3333 0.2698
P 0.3333 0.6667 0.7302
Pd 0.0000 0.0000 0.5000
Sr 0.0000 0.0000 0.0000

Computed properties:
M_tot: 0.0 μB/cell



No. 17
# SrP2PdO7

A relaxed structure of SrP2PdO7 (PBE, Alexandria).

Lattice parameters (Å, degrees): 6.1084 7.5059 13.5589 90.00 90.00 90.00
Positions (direct):
O 0.4626 0.3120 0.3911
O 0.5374 0.8120 0.1089
O 0.9624 0.8139 0.8901
O 0.2500 0.4019 0.0010
O 0.7500 0.5582 0.1849
O 0.2500 0.0981 0.5010
O 0.5374 0.6880 0.6089
O 0.0374 0.1880 0.8911
O 0.7500 0.9418 0.6849
O 0.4624 0.1861 0.1099
O 0.9626 0.8120 0.1089
O 0.7500 0.5610 0.8130
O 0.0374 0.3120 0.3911
O 0.4624 0.3139 0.6099
O 0.2500 0.0610 0.6870
O 0.7500 0.5981 0.9990
O 0.2500 0.4418 0.8151
O 0.0376 0.3139 0.6099
O 0.9624 0.6861 0.3901
O 0.7500 0.9390 0.3130
O 0.2500 0.4390 0.1870
O 0.4626 0.1880 0.8911
O 0.5376 0.6861 0.3901
O 0.9626 0.6880 0.6089
O 0.7500 0.9019 0.4990
O 0.2500 0.0582 0.3151
O 0.5376 0.8139 0.8901
O 0.0376 0.1861 0.1099
Sr 0.2500 0.7503 0.7496
Sr 0.7500 0.2503 0.7504
Sr 0.2500 0.7497 0.2496
Sr 0.7500 0.2497 0.2504
P 0.2500 0.3032 0.8943
P 0.7500 0.6985 0.8929
P 0.7500 0.8032 0.6057
P 0.2500 0.3015 0.1071
P 0.7500 0.8015 0.3929
P 0.7500 0.6968 0.1057
P 0.2500 0.1985 0.6071
P 0.2500 0.1968 0.3943
Pd 0.5000 0.0000 0.0000
Pd 0.5000 0.5000 0.5000
Pd 0.0000 0.0000 0.0000
Pd 0.0000 0.5000 0.5000

Computed properties:
M_tot: 0.0 μB/cell



No. 18
# SrPPdO5

A relaxed structure of SrPPdO5 (PBE, Alexandria).

Lattice parameters (Å, degrees): 6.2525 6.2525 6.8533 102.04 102.04 117.18
Positions (direct):
O 0.0796 0.9204 0.2500
O 0.2767 0.3861 0.5754
O 0.6139 0.7233 0.9246
O 0.9204 0.0796 0.7500
O 0.3950 0.8438 0.6408
O 0.3861 0.2767 0.0754
O 0.7233 0.6139 0.4246
O 0.8438 0.3950 0.1408
O 0.1562 0.6050 0.8592
O 0.6050 0.1562 0.3592
P 0.6447 0.3553 0.2500
P 0.3553 0.6447 0.7500
Sr 0.6706 0.3294 0.7500
Sr 0.3294 0.6706 0.2500
Pd 0.0000 0.0000 0.0000
Pd 0.0000 0.0000 0.5000

Computed properties:
M_tot: 0.0 μB/cell



No. 19
# SrPPdO6

A relaxed structure of SrPPdO6 (PBE, Alexandria).

Lattice parameters (Å, degrees): 4.9855 4.9855 5.3813 90.00 90.00 60.00
Last column: magnetic moment on the atom in μB.
Positions (direct):
O 0.6009 0.3545 0.6867  0.09
O 0.3545 0.6009 0.3133  0.09
O 0.3544 0.0446 0.6867  0.09
O 0.6010 0.0445 0.3133  0.09
O 0.0445 0.6010 0.6867  0.09
O 0.0446 0.3544 0.3133  0.09
Sr 0.0000 0.0000 0.0000  0.00
Pd 0.6666 0.6667 0.5000  0.17
P 0.3333 0.3333 0.5000  -0.01

Computed properties:
M_tot: 0.8 μB/cell



No. 20
# SrP2PdO

A relaxed structure of SrP2PdO (PBE, Alexandria).

Lattice parameters (Å, degrees): 4.6434 4.6434 4.5278 90.00 90.00 90.00
Positions (direct):
P 0.0000 0.5000 0.0000
P 0.5000 0.0000 0.0000
Pd 0.0000 0.0000 0.0000
Sr 0.5000 0.5000 0.5000
O 0.0000 0.0000 0.5000

Computed properties:
M_tot: 0.0 μB/cell



No. 21
# TaP2PdO

A relaxed structure of TaP2PdO (PBE, Alexandria).

Lattice parameters (Å, degrees): 4.9230 4.9230 3.8048 90.00 90.00 90.00
Positions (direct):
P 0.5000 0.0000 0.0000
P 0.0000 0.5000 0.0000
Ta 0.0000 0.0000 0.0000
O 0.0000 0.0000 0.5000
Pd 0.5000 0.5000 0.5000

Computed properties:
M_tot: 0.0 μB/cell



No. 22
# TaPPdO2

A relaxed structure of TaPPdO2 (PBE, Alexandria).

Lattice parameters (Å, degrees): 3.8211 3.8211 5.4629 90.00 90.00 90.00
Positions (direct):
O 0.5000 0.0000 0.0000
O 0.0000 0.5000 0.0000
Ta 0.0000 0.0000 0.0000
P 0.0000 0.0000 0.5000
Pd 0.5000 0.5000 0.5000

Computed properties:
M_tot: 0.0 μB/cell



No. 23
# TaP2PdO

A relaxed structure of TaP2PdO (PBE, Alexandria).

Lattice parameters (Å, degrees): 4.6149 4.6149 3.8244 90.00 90.00 90.00
Positions (direct):
Ta 0.5000 0.5000 0.5000
P 0.5000 0.0000 0.0000
P 0.0000 0.5000 0.0000
O 0.0000 0.0000 0.5000
Pd 0.0000 0.0000 0.0000

Computed properties:
M_tot: 0.0 μB/cell



No. 24
# TaPPdO2

A relaxed structure of TaPPdO2 (PBE, Alexandria).

Lattice parameters (Å, degrees): 3.8906 3.8906 4.7102 90.00 90.00 90.00
Last column: magnetic moment on the atom in μB.
Positions (direct):
O 0.5000 0.0000 0.0000  -0.05
O 0.0000 0.5000 0.0000  -0.05
P 0.0000 0.0000 0.5000  -0.03
Pd 0.0000 0.0000 0.0000  -0.01
Ta 0.5000 0.5000 0.5000  0.65

Computed properties:
M_tot: 0.7 μB/cell



No. 25
# TePPdO2

A relaxed structure of TePPdO2 (PBE, Alexandria).

Lattice parameters (Å, degrees): 4.0137 4.0137 4.7807 90.00 90.00 90.00
Positions (direct):
Te 0.5000 0.5000 0.5000
Pd 0.0000 0.0000 0.0000
P 0.0000 0.0000 0.5000
O 0.5000 0.0000 0.0000
O 0.0000 0.5000 0.0000

Computed properties:
M_tot: 0.0 μB/cell



| no. | E (eV/cell) |
| --- | --- |
| 1 | -27.86 |
| 2 | -25.57 |
| 3 | -23.23 |
| 4 | -19.86 |
| 5 | -22.24 |
| 6 | -24.08 |
| 7 | -23.12 |
| 8 | -22.28 |
| 9 | -22.91 |
| 10 | -27.50 |
| 11 | -21.96 |
| 12 | -24.41 |
| 13 | -23.27 |
| 14 | -24.90 |
| 15 | -17.59 |
| 16 | -80.63 |
| 17 | -304.79 |
| 18 | -105.35 |
| 19 | -56.47 |
| 20 | -23.67 |
| 21 | -34.25 |
| 22 | -38.52 |
| 23 | -29.89 |
| 24 | -30.88 |
| 25 | -22.68 |